Below is an optimized crystal structure of LaCe2Er, with properties calculated at the PBE-GGA level.

```
4
Lattice="4.9325 0.0000 0.0000 0.0000 4.9325 0.0000 0.0000 0.0000 5.1137" Properties=species:S:1:pos:R:3 pbc="T T T"
La 0.0000 0.0000 0.0000
Ce 0.0000 2.4663 2.5569
Ce 2.4663 0.0000 2.5569
Er 2.4663 2.4663 0.0000
```

Computed properties:
crystal system = tetragonal
DOS(E_F) = 2.517 states/eV per atom
excess energy over the best structure of this formula in the dataset = 0.8 kJ per mole of atoms
mass density = 7.826 g/cm3
space group = P4/mmm, No. 123